VASP calculation (PBE with a Hubbard U) on a relaxed Ca2UFeO6 crystal.

Results
V   13.289 A^3/atom
Crystal system   trigonal
Uncorrected energy   -7.674 eV per atom

Cell lengths 5.7691, 5.7684, 5.6886 Å; angles 89.99, 120.49, 119.99 degrees
Closest atoms and distances in Å follow each position.
Fractional positions:
Ca 0.4494 0.7241 0.1594  6 O 2.34-2.58
Ca 0.5436 0.2714 0.8010  6 O 2.34-2.59
U 0.9966 0.9978 0.9803  6 O 2.09
Fe 0.9965 0.4977 0.4803  6 O 2.11
O 0.4991 0.8459 0.7431  1 U 2.09, 1 Fe 2.11, 1 Ca 2.34
O 0.4940 0.1496 0.2174  1 U 2.09, 1 Fe 2.11, 1 Ca 2.34
O 0.8884 0.7374 0.2175  1 U 2.09, 1 Fe 2.11, 1 Ca 2.34
O 0.0821 0.3433 0.2178  1 U 2.09, 1 Fe 2.11, 1 Ca 2.34
O 0.9110 0.6523 0.7427  1 U 2.09, 1 Fe 2.11, 1 Ca 2.34
O 0.1048 0.2581 0.7430  1 U 2.09, 1 Fe 2.11, 1 Ca 2.34